# 1
VASP calculation (PBE) on an optimized crystal structure of CsMnI2Br.

Properties
- Space group: I4cm
- M_tot: 10.000 μB per cell
- Total energy: -3.93 eV per atom
- Formation energy without anion corrections: -0.97 eV/atom
- Energy relative to the lowest polymorph listed for this composition: 0 kJ/mol of formula units

abc: 7.7652 7.7652 8.6931
angles: 116.53 116.53 90.00
Last column: nearest neighbours and their distance in Å.
Positions (direct):
Br (0.2280, 0.2280, 0.4559)  1 Mn 2.49
I (0.1893, 0.2949, 0.9841)  2 Mn 2.89
Br (0.7280, 0.7280, 0.4559)  1 Mn 2.49
I (0.7949, 0.6893, 0.9841)  2 Mn 2.89
Cs (0.7450, 0.2450, 0.4901)  4 Br 3.89, 4 I 3.97-4.04
Mn (0.5431, 0.5431, 0.0862)  1 Br 2.49
Cs (0.2450, 0.7450, 0.4901)  4 Br 3.89, 4 I 3.97-4.04
I (0.6893, 0.1893, 0.9841)  2 Mn 2.89
I (0.2949, 0.7949, 0.9841)  2 Mn 2.89
Mn (0.0431, 0.0431, 0.0862)  1 Br 2.49

=====

# 2
VASP calculation (PBE) on an optimized crystal structure of CsMnI2Br.

Properties
- Space group: P4/mmm
- M_tot: 5.000 μB per cell
- Total energy: -3.91 eV per atom
- Formation energy without anion corrections: -0.95 eV/atom
- Energy relative to the lowest polymorph listed for this composition: 9 kJ/mol of formula units

abc: 5.9020 5.9020 5.4035
angles: 90.00 90.00 90.00
Last column: nearest neighbours and their distance in Å.
Positions (direct):
Br (0.0000, 0.0000, 0.5000)  2 Mn 2.70
Cs (0.5000, 0.5000, 0.5000)  8 I 4.00, 4 Br 4.17
I (0.0000, 0.5000, 0.0000)  2 Mn 2.95
I (0.5000, 0.0000, 0.0000)  2 Mn 2.95
Mn (0.0000, 0.0000, 0.0000)  2 Br 2.70, 4 I 2.95

=====

# 3
VASP calculation (PBE) on an optimized crystal structure of Cs2MnI2Br4.

Properties
- Space group: I4/mmm
- M_tot: 2.999 μB per cell
- Total energy: -3.36 eV per atom
- Formation energy without anion corrections: -1.07 eV/atom

abc: 7.8759 7.8759 7.8759
angles: 93.32 118.10 118.10
Last column: nearest neighbours and their distance in Å.
Positions (direct):
I (0.0000, 0.7474, 0.7474)  1 Mn 2.73
Cs (0.5000, 0.7500, 0.2500)  8 Br 3.96, 4 I 4.05
Br (0.0000, 0.7846, 0.2154)  1 Mn 2.47
Mn (0.0000, 0.0000, 0.0000)  4 Br 2.47, 2 I 2.73
Br (0.4308, 0.2154, 0.2154)  1 Mn 2.47
Br (0.0000, 0.2154, 0.7846)  1 Mn 2.47
Br (0.5692, 0.7846, 0.7846)  1 Mn 2.47
I (0.0000, 0.2526, 0.2526)  1 Mn 2.73
Cs (0.5000, 0.2500, 0.7500)  8 Br 3.96, 4 I 4.05

=====

# 4
VASP calculation (PBE) on an optimized crystal structure of CsMnIBr2.

Properties
- Space group: I4/mcm
- M_tot: 10.000 μB per cell
- Total energy: -4.04 eV per atom
- Formation energy without anion corrections: -1.06 eV/atom

abc: 7.7343 7.7343 8.0022
angles: 118.90 118.90 90.00
Last column: nearest neighbours and their distance in Å.
Positions (direct):
Mn (0.5000, 0.5000, 0.0001)  4 Br 2.74, 2 I 2.92
Br (0.7383, 0.2383, 0.0003)  2 Mn 2.74
Br (0.7620, 0.7383, 0.0003)  2 Mn 2.74
Br (0.2383, 0.2620, 0.0003)  2 Mn 2.74
I (0.7501, 0.7501, 0.5002)  2 Mn 2.92
Mn (0.0000, 0.0000, 0.0001)  4 Br 2.74, 2 I 2.92
Cs (0.7498, 0.2498, 0.4995)  4 I 3.87, 8 Br 3.91-4.09
I (0.2501, 0.2501, 0.5002)  2 Mn 2.92
Cs (0.2498, 0.7498, 0.4995)  4 I 3.87, 8 Br 3.91-4.09
Br (0.2620, 0.7620, 0.0003)  2 Mn 2.74

=====

# 5
VASP calculation (PBE) on an optimized crystal structure of Cs2MoI6Br.

Properties
- Space group: I4/mmm
- M_tot: 2.182 μB per cell
- Total energy: -2.98 eV per atom
- Formation energy without anion corrections: -0.63 eV/atom

abc: 9.1057 9.1057 8.6553
angles: 58.26 58.26 90.00
Last column: nearest neighbours and their distance in Å.
Positions (direct):
I (0.7851, 0.7851, 0.0000)  1 Mo 2.77
I (0.7553, 0.7553, 0.4893)  1 Mo 2.83, 1 Br 2.95
Br (0.5000, 0.5000, 0.0000)  2 I 2.95
Cs (0.2500, 0.7500, 0.5000)  12 I 4.35-4.55
I (0.2447, 0.2447, 0.5107)  1 Mo 2.83, 1 Br 2.95
Cs (0.7500, 0.2500, 0.5000)  12 I 4.35-4.55
I (0.2149, 0.7851, 0.0000)  1 Mo 2.77
Mo (0.0000, 0.0000, 0.0000)  6 I 2.77-2.83
I (0.2149, 0.2149, 0.0000)  1 Mo 2.77
I (0.7851, 0.2149, 0.0000)  1 Mo 2.77

=====

# 6
VASP calculation (PBE) on an optimized crystal structure of Cs2MoIBr5.

Properties
- Space group: I4mm
- M_tot: 2.000 μB per cell
- Total energy: -3.58 eV per atom
- Formation energy without anion corrections: -1.09 eV/atom

abc: 7.8750 7.8750 7.8750
angles: 91.37 119.21 119.21
Last column: nearest neighbours and their distance in Å.
Positions (direct):
Br (0.0000, 0.2359, 0.2359)  1 Mo 2.57
Br (0.4559, 0.2296, 0.2296)  1 Mo 2.57
Br (0.0000, 0.7737, 0.2296)  1 Mo 2.57
I (0.0000, 0.7500, 0.7500)  1 Mo 2.78
Mo (0.0000, 0.0025, 0.0025)  5 Br 2.57, 1 I 2.78
Cs (0.5000, 0.2524, 0.7524)  10 Br 3.94-3.99, 2 I 3.98
Cs (0.5000, 0.7524, 0.2524)  10 Br 3.94-3.99, 2 I 3.98
Br (0.0000, 0.2296, 0.7737)  1 Mo 2.57
Br (0.5441, 0.7737, 0.7737)  1 Mo 2.57

=====

# 7
VASP calculation (PBE) on an optimized crystal structure of CsI2BrN.

Properties
- Space group: P4/mmm
- M_tot: 5.026 μB per cell
- Total energy: -1.88 eV per atom
- Formation energy without anion corrections: 0.91 eV/atom
- Energy relative to the lowest polymorph listed for this composition: 266 kJ/mol of formula units

abc: 7.3957 7.3957 6.3503
angles: 90.00 90.00 90.00
Last column: nearest neighbours and their distance in Å.
Positions (direct):
N (0.0000, 0.0000, 0.5000)  2 Cs 3.18
Cs (0.0000, 0.0000, 0.0000)  2 N 3.18
Br (0.5000, 0.5000, 0.5000)  8 I 4.87, 4 N 5.23
I (0.5000, 0.0000, 0.0000)  2 Cs 3.70
I (0.0000, 0.5000, 0.0000)  2 Cs 3.70

=====

# 8
VASP calculation (PBE) on an optimized crystal structure of CsI2BrN.

Properties
- Space group: P4/mmm
- M_tot: 0.285 μB per cell
- Total energy: -2.43 eV per atom
- Formation energy without anion corrections: 0.36 eV/atom
- Energy relative to the lowest polymorph listed for this composition: 0 kJ/mol of formula units

abc: 7.4325 7.4325 3.7525
angles: 90.00 90.00 90.00
Last column: nearest neighbours and their distance in Å.
Positions (direct):
I (0.0000, 0.5000, 0.0000)  2 Br 3.72, 2 I 3.75
I (0.5000, 0.0000, 0.0000)  2 Br 3.72, 2 I 3.75
N (0.0000, 0.0000, 0.5000)  2 Br 1.88
Cs (0.5000, 0.5000, 0.5000)  2 Cs 3.75, 8 I 4.16
Br (0.0000, 0.0000, 0.0000)  2 N 1.88

=====

# 9
VASP calculation (PBE) on an optimized crystal structure of Cs3Na2I3Br2.

Properties
- Space group: I4/mmm
- M_tot: 0.066 μB per cell
- Total energy: -2.84 eV per atom
- Formation energy without anion corrections: -1.53 eV/atom

abc: 5.5901 5.5901 15.8914
angles: 100.13 100.13 90.00
Last column: nearest neighbours and their distance in Å.
Positions (direct):
Cs (0.3641, 0.3641, 0.7281)  5 I 3.97-4.18, 1 Na 4.34
Br (0.2500, 0.7500, 0.5000)  4 Na 2.92
I (0.8770, 0.8770, 0.7540)  1 Na 3.08
Cs (0.6359, 0.6359, 0.2719)  5 I 3.97-4.18, 1 Na 4.34
Br (0.7500, 0.2500, 0.5000)  4 Na 2.92
Cs (0.0000, 0.0000, 0.0000)  6 I 3.79-3.95
I (0.1230, 0.1230, 0.2460)  1 Na 3.08
Na (0.7770, 0.7770, 0.5539)  4 Br 2.92, 1 I 3.08
I (0.5000, 0.5000, 0.0000)  6 Cs 3.95-4.18
Na (0.2230, 0.2230, 0.4461)  4 Br 2.92, 1 I 3.08

=====

# 10
VASP calculation (PBE) on an optimized crystal structure of Cs2Na4I3Br2.

Properties
- Space group: I4/mmm
- M_tot: 0.000 μB per cell
- Total energy: -2.60 eV per atom
- Formation energy without anion corrections: -1.24 eV/atom

abc: 5.5511 5.5511 17.2017
angles: 99.29 99.29 90.00
Last column: nearest neighbours and their distance in Å.
Positions (direct):
Br (0.4301, 0.4301, 0.8601)  4 Na 2.78
Br (0.5699, 0.5699, 0.1399)  4 Na 2.78
Na (0.4343, 0.9343, 0.8686)  2 Br 2.78
Cs (0.3182, 0.3182, 0.6365)  1 Br 3.75
Na (0.5657, 0.0657, 0.1314)  2 Br 2.78
Na (0.0657, 0.5657, 0.1314)  2 Br 2.78
Cs (0.6818, 0.6818, 0.3635)  1 Br 3.75
I (0.0000, 0.0000, 0.0000)  8 Na 3.54
Na (0.9343, 0.4343, 0.8686)  2 Br 2.78
I (0.8715, 0.8715, 0.7429)  4 Na 3.48
I (0.1285, 0.1285, 0.2571)  4 Na 3.48

=====

# 11
VASP calculation (PBE) on an optimized crystal structure of Cs2NbIBr5.

Properties
- Space group: I4mm
- M_tot: 1.000 μB per cell
- Total energy: -3.68 eV per atom
- Formation energy without anion corrections: -1.27 eV/atom

abc: 7.9424 7.9424 7.9424
angles: 90.22 119.88 119.88
Last column: nearest neighbours and their distance in Å.
Positions (direct):
Nb (0.0000, 0.0032, 0.0032)  5 Br 2.60-2.61, 1 I 2.84
Br (0.5380, 0.7706, 0.7706)  1 Nb 2.60
Br (0.0000, 0.2326, 0.7706)  1 Nb 2.60
Cs (0.5000, 0.7522, 0.2522)  10 Br 3.97-3.98, 2 I 3.98
Br (0.4620, 0.2326, 0.2326)  1 Nb 2.60
Cs (0.5000, 0.2522, 0.7522)  10 Br 3.97-3.98, 2 I 3.98
Br (0.0000, 0.7706, 0.2326)  1 Nb 2.60
I (0.0000, 0.7502, 0.7502)  1 Nb 2.84
Br (0.0000, 0.2360, 0.2360)  1 Nb 2.61

=====

# 12
VASP calculation (PBE) on an optimized crystal structure of Cs2NbI2Br4.

Properties
- Space group: I4/mmm
- M_tot: 1.001 μB per cell
- Total energy: -3.61 eV per atom
- Formation energy without anion corrections: -1.21 eV/atom

abc: 8.0338 8.0338 8.0338
angles: 90.35 119.80 119.80
Last column: nearest neighbours and their distance in Å.
Positions (direct):
Br (0.4557, 0.2279, 0.2279)  1 Nb 2.60
Br (0.0000, 0.2279, 0.7721)  1 Nb 2.60
Nb (0.0000, 0.0000, 0.0000)  4 Br 2.60, 2 I 2.84
I (0.0000, 0.2509, 0.2509)  1 Nb 2.84
I (0.0000, 0.7491, 0.7491)  1 Nb 2.84
Cs (0.5000, 0.2500, 0.7500)  8 Br 4.02, 4 I 4.03
Cs (0.5000, 0.7500, 0.2500)  8 Br 4.02, 4 I 4.03
Br (0.5443, 0.7721, 0.7721)  1 Nb 2.60
Br (0.0000, 0.7721, 0.2279)  1 Nb 2.60